## V2SbRh2 (PBE-GGA)

Data for a relaxed structure of V2SbRh2.

```
V2SbRh2
1.0
7.450 0.000 0.000
0.000 7.450 0.000
0.000 0.000 2.881
V Sb Rh
4 2 4
Direct
0.153 0.347 0.000 V
0.347 0.847 0.000 V
0.653 0.153 0.000 V
0.847 0.653 0.000 V
0.000 0.000 0.000 Sb
0.500 0.500 0.000 Sb
0.136 0.636 0.500 Rh
0.364 0.136 0.500 Rh
0.636 0.864 0.500 Rh
0.864 0.364 0.500 Rh
```

Properties
Energy above the lowest structure with this stoichiometry = 85 meV/atom
SG = P4/mbm
ρ = 8.9 g cm⁻³
Total moment = 0.091 Bohr magnetons per cell
ΔE_f (raw) = -73 meV/atom
Volume = 159.88 Å³/cell